No. 1
This record from Alexandria via LeMat-Bulk describes a relaxed ScMn2Hg crystal. The functional is PBE.

```
ScMn2Hg
1.0
3.986 0.000 0.000
0.000 4.136 0.000
0.000 0.000 4.136
Hg Mn Sc
1 2 1
Cartesian
1.993 0.000 2.068 Hg
0.000 0.000 0.000 Mn
0.000 2.068 2.068 Mn
1.993 2.068 0.000 Sc
```

Values from the calculation:
Symmetry   No. 123
DFT total energy   -6.1171 eV/atom


No. 2
This record from Alexandria via LeMat-Bulk describes a relaxed ZnNiW crystal. The functional is PBE.

```
ZnNiW
1.0
-2.119 -3.877 -1.552
2.612 -3.705 -1.378
-1.243 -5.091 7.348
Zn Ni W
4 4 4
Cartesian
0.127 -5.840 3.816 Zn
0.182 -4.894 1.378 Zn
-2.275 -6.556 5.353 Zn
-1.087 -2.411 0.443 Zn
-0.951 -8.091 3.844 Ni
-0.860 -6.521 -0.202 Ni
-1.198 -4.306 5.325 Ni
-2.165 -4.662 0.471 Ni
-2.132 -6.715 2.022 W
0.322 -7.896 1.619 W
-0.893 -4.467 -1.753 W
1.385 -3.115 -1.177 W
```

Values from the calculation:
Distance to the lowest polymorph of the same formula   62 meV per atom
Symmetry   No. 70


No. 3
This record from Alexandria via LeMat-Bulk describes a relaxed RbInPb crystal. The functional is PBE.

```
RbInPb
1.0
2.128 0.959 4.881
-5.369 0.062 -0.671
-0.316 -8.258 1.761
Pb Rb In
2 2 2
Cartesian
-3.012 -3.364 1.974 Pb
-0.671 -7.194 4.705 Pb
-0.237 -6.186 1.319 Rb
-0.079 -2.057 0.439 Rb
-2.885 -0.050 1.268 In
-0.545 -3.880 3.999 In
```

Values from the calculation:
Symmetry   No. 186
DFT total energy   -2.5521 eV/atom


Number 1: N(E_F) 1.222 states/eV per atom, magnetization 5.53 μB per cell. Number 2: N(E_F) 0.856 states/eV per atom, magnetization 0.00 μB per cell. Number 3: N(E_F) 0.116 states/eV per atom, magnetization 0.00 μB per cell.